Record 1
{"formula": "CaHf2Ni", "functional": "GGA-PBE", "state": "relaxed", "lattice": [[6.838, 0.000, 0.000], [0.000, 6.838, 0.000], [0.000, 0.000, 6.838]], "species": ["Ca", "Ca", "Ca", "Ca", "Hf", "Hf", "Hf", "Hf", "Hf", "Hf", "Hf", "Hf", "Ni", "Ni", "Ni", "Ni"], "fractional_positions": [[0.000, 0.000, 0.000], [0.000, 0.500, 0.500], [0.500, 0.000, 0.500], [0.500, 0.500, 0.000], [0.250, 0.250, 0.250], [0.250, 0.250, 0.750], [0.250, 0.750, 0.250], [0.250, 0.750, 0.750], [0.750, 0.250, 0.250], [0.750, 0.250, 0.750], [0.750, 0.750, 0.250], [0.750, 0.750, 0.750], [0.000, 0.000, 0.500], [0.000, 0.500, 0.000], [0.500, 0.000, 0.000], [0.500, 0.500, 0.500]], "ef_ev_per_fu": 1.9, "dos_at_fermi_per_ev_cell": 17.98, "space_group": "No. 225", "m_tot_mub_per_atom": 0.0000, "de_polymorph_ev_per_atom": 0.2320}


Record 2
{"formula": "RbCuCl2F", "functional": "GGA-PBE", "state": "relaxed", "lattice": [[4.948, 0.000, 0.000], [0.000, 4.948, 0.000], [0.000, 0.000, 4.149]], "species": ["Rb", "Cu", "Cl", "Cl", "F"], "fractional_positions": [[0.000, 0.000, 0.000], [0.500, 0.500, 0.500], [0.000, 0.500, 0.500], [0.500, 0.000, 0.500], [0.500, 0.500, 0.000]], "dos_at_fermi_per_ev_cell": 1.99, "space_group": "No. 123", "m_tot_mub_per_atom": 0.0000, "formation_energy_uncorrected_ev_per_atom": -1.367}


Record 3
{"formula": "Pm2GePd6", "functional": "GGA-PBE", "state": "relaxed", "lattice": [[5.769, 0.000, 0.000], [-2.884, 4.996, 0.000], [0.000, 0.000, 5.858]], "species": ["Pm", "Pm", "Ge", "Pd", "Pd", "Pd", "Pd", "Pd", "Pd"], "fractional_positions": [[0.333, 0.667, 0.180], [0.667, 0.333, 0.820], [0.000, 0.000, 0.000], [0.173, 0.345, 0.692], [0.173, 0.827, 0.692], [0.345, 0.173, 0.308], [0.655, 0.827, 0.692], [0.827, 0.173, 0.308], [0.827, 0.655, 0.308]], "ef_ev_per_fu": -7.0, "dos_at_fermi_per_ev_cell": 3.03, "space_group": "No. 164", "m_tot_mub_per_atom": 0.0000, "de_polymorph_ev_per_atom": 0.0000}


Record 4
{"formula": "BaTi3B", "functional": "GGA-PBE", "state": "relaxed", "lattice": [[4.580, 0.000, 0.000], [0.000, 4.580, 0.000], [0.000, 0.000, 4.580]], "species": ["Ba", "Ti", "Ti", "Ti", "B"], "fractional_positions": [[0.000, 0.000, 0.000], [0.000, 0.500, 0.500], [0.500, 0.000, 0.500], [0.500, 0.500, 0.000], [0.500, 0.500, 0.500]], "ef_ev_per_fu": 2.2, "dos_at_fermi_per_ev_cell": 7.37, "space_group": "No. 221", "m_tot_mub_per_atom": 0.0000, "de_polymorph_ev_per_atom": 0.0000}


Record 5
{"formula": "Ag2HgCl6", "functional": "GGA-PBE", "state": "relaxed", "lattice": [[6.696, 0.000, 0.000], [0.000, 6.155, 0.000], [-4.725, 0.000, 12.054]], "species": ["Ag", "Ag", "Ag", "Ag", "Hg", "Hg", "Cl", "Cl", "Cl", "Cl", "Cl", "Cl", "Cl", "Cl", "Cl", "Cl", "Cl", "Cl"], "fractional_positions": [[0.166, 0.011, 0.174], [0.166, 0.489, 0.674], [0.834, 0.511, 0.326], [0.834, 0.989, 0.826], [0.500, 0.000, 0.000], [0.500, 0.500, 0.500], [0.113, 0.234, 0.809], [0.113, 0.266, 0.309], [0.198, 0.727, 0.526], [0.198, 0.773, 0.026], [0.451, 0.244, 0.156], [0.451, 0.256, 0.656], [0.549, 0.744, 0.344], [0.549, 0.756, 0.844], [0.802, 0.227, 0.974], [0.802, 0.273, 0.474], [0.887, 0.734, 0.691], [0.887, 0.766, 0.191]], "dos_at_fermi_per_ev_cell": 4.94, "space_group": "No. 14", "m_tot_mub_per_atom": 0.0000, "formation_energy_uncorrected_ev_per_atom": -0.400, "de_polymorph_ev_per_atom": 0.0000}


Record 6
{"formula": "GaBi2SeO", "functional": "GGA-PBE", "state": "relaxed", "lattice": [[4.924, 0.000, 0.000], [0.000, 4.924, 0.000], [0.000, 0.000, 4.819]], "species": ["Ga", "Bi", "Bi", "Se", "O"], "fractional_positions": [[0.000, 0.000, 0.000], [0.000, 0.500, 0.500], [0.500, 0.000, 0.500], [0.500, 0.500, 0.000], [0.000, 0.000, 0.500]], "dos_at_fermi_per_ev_cell": 3.39, "space_group": "No. 123", "m_tot_mub_per_atom": 0.0000, "formation_energy_uncorrected_ev_per_atom": -0.097}